The following is a PBE-GGA calculation of a geometry-optimized AlTl4 structure, from Alexandria via LeMat-Bulk.

- VASP energy: -23.13 eV/cell
- Offset from the most stable computed form: 0.064 eV/atom
- ΔE_f: 0.33 eV per atom
- Magnetic moment: 0.000 μB per atom

Unit cell a=4.2932 b=4.2932 c=17.3592 alpha=90.00 beta=90.00 gamma=90.00
Closest atoms and distances in Å follow each position.
Space group I4/mmm (No. 139)
Symmetry-distinct sites (fractional):
Al  0.0000  0.0000  0.0000 [2 per cell]  8 Tl 3.42
Tl  0.0000  0.0000  0.4090 [4 per cell]  5 Tl 3.16-3.50, 4 Al 3.42
Tl  0.0000  0.5000  0.2500 [4 per cell]  4 Tl 3.04